DFT (GGA-PBEsol) results for a geometry-optimized Ir2RuRh structure.

Volume in Å³/atom: 13.7
Energy of formation in kJ/mol of formula units: -9
Symmetry: C2/m
DOS at the Fermi energy in states/eV/f.u.: 3.899
VASP energy in eV per atom: -9.51
Crystal system: monoclinic

a = 2.6828 Å, b = 4.6528 Å, c = 4.6563 Å
α = 99.50°, β = 106.74°, γ = 90.00°
With the nearest neighbours (Å) after each atom.
Sites, in units of the cell vectors:
1 Ru 0.0000 0.5000 0.0000  6 Ir 2.67-2.69, 2 Ru 2.68, 4 Rh 2.69
2 Ir 0.7481 0.7474 0.4963  6 Ir 2.67-2.70, 3 Ru 2.67-2.69, 3 Rh 2.68-2.70
3 Ir 0.2519 0.2526 0.5037  6 Ir 2.67-2.70, 3 Ru 2.67-2.69, 3 Rh 2.68-2.70
4 Rh 0.5000 0.0000 0.0000  6 Ir 2.68-2.70, 2 Rh 2.68, 4 Ru 2.69

DFT (GGA-PBEsol) results for a geometry-optimized Ir2RuRh structure.

Volume in Å³/atom: 13.7
Energy of formation in kJ/mol of formula units: -7
Symmetry: Cm
DOS at the Fermi energy in states/eV/f.u.: 3.944
VASP energy in eV per atom: -9.51
Crystal system: monoclinic

a = 2.6826 Å, b = 4.6586 Å, c = 4.6488 Å
α = 99.49°, β = 90.00°, γ = 106.73°
With the nearest neighbours (Å) after each atom.
Sites, in units of the cell vectors:
1 Rh 0.4995 0.9990 0.4985  7 Ir 2.67-2.70, 3 Ru 2.68-2.69, 2 Rh 2.68
2 Ru 0.7488 0.4975 0.2487  7 Ir 2.67-2.69, 3 Rh 2.68-2.69, 2 Ru 2.68
3 Ir 0.0007 0.0014 0.0025  4 Rh 2.67-2.70, 3 Ru 2.67-2.69, 5 Ir 2.68-2.70
4 Ir 0.2511 0.5021 0.7503  3 Rh 2.68-2.70, 4 Ru 2.68-2.69, 5 Ir 2.68-2.70

DFT (GGA-PBEsol) results for a geometry-optimized Ir2RuRh structure.

Volume in Å³/atom: 13.7
Energy of formation in kJ/mol of formula units: -6
Symmetry: Pmm2
DOS at the Fermi energy in states/eV/f.u.: 3.873
VASP energy in eV per atom: -9.50
Crystal system: orthorhombic

a = 2.6836 Å, b = 3.8042 Å, c = 5.3703 Å
α = 90.00°, β = 90.00°, γ = 90.00°
With the nearest neighbours (Å) after each atom.
Sites, in units of the cell vectors:
1 Rh 0.0000 0.0000 0.5020  6 Ir 2.66-2.72, 2 Rh 2.68, 4 Ru 2.68
2 Ru 0.5000 0.5000 0.7508  6 Ir 2.68-2.69, 2 Ru 2.68, 4 Rh 2.68
3 Ir 0.0000 0.0000 0.9964  2 Rh 2.66-2.72, 4 Ru 2.68, 6 Ir 2.68-2.70
4 Ir 0.5000 0.5000 0.2509  6 Ir 2.68-2.70, 2 Ru 2.68-2.69, 4 Rh 2.69

DFT (GGA-PBEsol) results for a geometry-optimized Ir2RuRh structure.

Volume in Å³/atom: 14.1
Energy of formation in kJ/mol of formula units: 141
Symmetry: C2/m
DOS at the Fermi energy in states/eV/f.u.: 5.447
VASP energy in eV per atom: -9.12
Crystal system: monoclinic

a = 2.6608 Å, b = 4.6148 Å, c = 5.3214 Å
α = 115.65°, β = 104.40°, γ = 90.18°
With the nearest neighbours (Å) after each atom.
Sites, in units of the cell vectors:
1 Ir 0.5000 0.5000 0.5000  6 Ir 2.66-2.67, 2 Ru 2.66, 2 Rh 2.66
2 Ir 0.0000 0.0000 0.5000  6 Ir 2.66-2.67, 2 Rh 2.66, 2 Ru 2.66
3 Rh 0.5000 0.5000 0.0000  4 Ru 2.66-2.67, 4 Ir 2.66, 2 Rh 2.66
4 Ru 0.0000 0.0000 0.0000  4 Rh 2.66-2.67, 4 Ir 2.66, 2 Ru 2.66

DFT (GGA-PBEsol) results for a geometry-optimized Ir2RuRh structure.

Volume in Å³/atom: 14.2
Energy of formation in kJ/mol of formula units: 212
Symmetry: Fm-3m
DOS at the Fermi energy in states/eV/f.u.: 5.436
VASP energy in eV per atom: -8.94
Crystal system: cubic

a = 4.3153 Å, b = 4.3153 Å, c = 4.3153 Å
α = 60.00°, β = 60.00°, γ = 60.00°
With the nearest neighbours (Å) after each atom.
Sites, in units of the cell vectors:
1 Ir 0.2500 0.2500 0.2500  4 Ru 2.64, 4 Rh 2.64
2 Ir 0.7500 0.7500 0.7500  4 Rh 2.64, 4 Ru 2.64
3 Ru 0.5000 0.5000 0.5000  8 Ir 2.64
4 Rh 0.0000 0.0000 0.0000  8 Ir 2.64

DFT (GGA-PBEsol) results for a geometry-optimized Ir2RuRh structure.

Volume in Å³/atom: 13.7
Energy of formation in kJ/mol of formula units: -1
Symmetry: P4mm
DOS at the Fermi energy in states/eV/f.u.: 4.038
VASP energy in eV per atom: -9.49
Crystal system: tetragonal

a = 2.6861 Å, b = 2.6861 Å, c = 7.6211 Å
α = 90.00°, β = 90.00°, γ = 90.00°
With the nearest neighbours (Å) after each atom.
Sites, in units of the cell vectors:
1 Rh 0.0000 0.0000 0.5032  4 Ru 2.67, 4 Rh 2.69, 4 Ir 2.71
2 Ir 0.5000 0.5000 0.2503  8 Ir 2.69-2.71, 4 Rh 2.71
3 Ir 0.0000 0.0000 0.9963  4 Ru 2.67, 8 Ir 2.69-2.71
4 Ru 0.5000 0.5000 0.7503  4 Ir 2.67, 4 Rh 2.67, 4 Ru 2.69

DFT (GGA-PBEsol) results for a geometry-optimized Ir2RuRh structure.

Volume in Å³/atom: 14.1
Energy of formation in kJ/mol of formula units: 140
Symmetry: P4/mmm
DOS at the Fermi energy in states/eV/f.u.: 5.413
VASP energy in eV per atom: -9.13
Crystal system: tetragonal

a = 3.2633 Å, b = 3.2633 Å, c = 5.3138 Å
α = 90.00°, β = 90.00°, γ = 90.00°
With the nearest neighbours (Å) after each atom.
Sites, in units of the cell vectors:
1 Ir 0.0000 0.0000 0.2509  2 Ir 2.65-2.67, 4 Ru 2.66, 4 Rh 2.67
2 Ir 0.0000 0.0000 0.7491  2 Ir 2.65-2.67, 4 Ru 2.66, 4 Rh 2.67
3 Ru 0.5000 0.5000 0.5000  2 Rh 2.66, 8 Ir 2.66
4 Rh 0.5000 0.5000 0.0000  2 Ru 2.66, 8 Ir 2.67

DFT (GGA-PBEsol) results for a geometry-optimized Ir2RuRh structure.

Volume in Å³/atom: 13.7
Energy of formation in kJ/mol of formula units: -11
Symmetry: R-3m
DOS at the Fermi energy in states/eV/f.u.: 4.016
VASP energy in eV per atom: -9.52
Crystal system: trigonal

a = 2.6871 Å, b = 2.6871 Å, c = 8.9082 Å
α = 81.33°, β = 81.33°, γ = 60.00°
With the nearest neighbours (Å) after each atom.
Sites, in units of the cell vectors:
1 Ir 0.7489 0.7489 0.7534  3 Ru 2.66, 6 Ir 2.69, 3 Rh 2.71
2 Ir 0.2511 0.2511 0.2466  3 Ru 2.66, 6 Ir 2.69, 3 Rh 2.71
3 Rh 0.5000 0.5000 0.5000  6 Rh 2.69, 6 Ir 2.71
4 Ru 0.0000 0.0000 0.0000  6 Ir 2.66, 6 Ru 2.69

DFT (GGA-PBEsol) results for a geometry-optimized SbIrRu2Rh structure.

Volume in Å³/atom: 20.9
Symmetry: P4/mmm
DOS at the Fermi energy in states/eV/f.u.: 9.125
ΔE_f (raw) in eV/atom: 2.193
VASP energy in eV per atom: -6.38
Crystal system: tetragonal

a = 4.7201 Å, b = 4.7066 Å, c = 4.7066 Å
α = 90.00°, β = 90.00°, γ = 90.00°
With the nearest neighbours (Å) after each atom.
Sites, in units of the cell vectors:
1 Sb 0.0000 0.0000 0.0000  4 Ru 2.35, 2 Ir 2.36
2 Ru 0.0000 0.0000 0.5000  2 Sb 2.35
3 Ru 0.0000 0.5000 0.0000  2 Sb 2.35
4 Ir 0.5000 0.0000 0.0000  2 Sb 2.36
5 Rh 0.5000 0.5000 0.5000  4 Ir 3.33, 8 Ru 3.33

DFT (GGA-PBEsol) results for a geometry-optimized IrRh3S structure.

Volume in Å³/atom: 15.3
Symmetry: Pm-3m
DOS at the Fermi energy in states/eV/f.u.: 7.846
ΔE_f (raw) in eV/atom: 0.639
VASP energy in eV per atom: -7.09
Crystal system: cubic

a = 4.2491 Å, b = 4.2491 Å, c = 4.2491 Å
α = 90.00°, β = 90.00°, γ = 90.00°
With the nearest neighbours (Å) after each atom.
Sites, in units of the cell vectors:
1 Rh 0.0000 0.5000 0.0000  2 S 2.12
2 Rh 0.0000 0.0000 0.5000  2 S 2.12
3 Rh 0.5000 0.0000 0.0000  2 S 2.12
4 S 0.0000 0.0000 0.0000  6 Rh 2.12
5 Ir 0.5000 0.5000 0.5000  12 Rh 3.00

DFT (GGA-PBEsol) results for a geometry-optimized SbIr2Rh structure.

Volume in Å³/atom: 15.5
Symmetry: Pmm2
DOS at the Fermi energy in states/eV/f.u.: 3.648
ΔE_f (raw) in eV/atom: 0.151
VASP energy in eV per atom: -7.93
Crystal system: orthorhombic

a = 2.8669 Å, b = 3.8265 Å, c = 5.6579 Å
α = 90.00°, β = 90.00°, γ = 90.00°
With the nearest neighbours (Å) after each atom.
Sites, in units of the cell vectors:
1 Ir 0.0000 0.0000 0.0250  1 Rh 2.64, 6 Ir 2.69-2.87, 4 Sb 2.88
2 Ir 0.5000 0.5000 0.2434  6 Ir 2.69-2.87, 4 Rh 2.77, 2 Sb 2.81-2.84
3 Rh 0.0000 0.0000 0.4909  5 Ir 2.64-2.77, 4 Sb 2.78, 2 Rh 2.87
4 Sb 0.5000 0.5000 0.7407  4 Rh 2.78, 6 Ir 2.81-2.88, 2 Sb 2.87

DFT (GGA-PBEsol) results for a geometry-optimized SbIr2Rh structure.

Volume in Å³/atom: 15.7
Symmetry: C2/m
DOS at the Fermi energy in states/eV/f.u.: 3.280
ΔE_f (raw) in eV/atom: 0.194
VASP energy in eV per atom: -7.89
Crystal system: monoclinic

a = 2.8409 Å, b = 4.5689 Å, c = 5.5279 Å
α = 114.44°, β = 104.93°, γ = 89.91°
With the nearest neighbours (Å) after each atom.
Sites, in units of the cell vectors:
1 Ir 0.5000 0.5000 0.5000  6 Ir 2.69-2.84, 2 Sb 2.76, 2 Rh 2.76
2 Ir 0.0000 0.0000 0.5000  6 Ir 2.69-2.84, 2 Rh 2.76, 2 Sb 2.76
3 Rh 0.0000 0.0000 0.0000  4 Sb 2.69, 4 Ir 2.76, 2 Rh 2.84
4 Sb 0.5000 0.5000 0.0000  4 Rh 2.69, 4 Ir 2.76, 2 Sb 2.84